A plane-wave DFT calculation with GGA-PBEsol was carried out for a relaxed K5Ni crystal.

Computed properties:
DFT total energy, eV/atom: -1.491
E_form, eV/atom: 0.480

abc: 5.820 5.863 8.878
angles: 90.00 109.13 90.00
Each line ends with the local moment (μB).
Sites, in units of the cell vectors:
K 0.642 0.500 0.285  0.00
K 0.141 0.000 0.282  0.00
K 0.358 0.500 0.715  0.00
K 0.859 0.000 0.718  0.00
K 0.000 0.500 0.000  0.00
Ni 0.500 0.000 0.000  0.38

A plane-wave DFT calculation with GGA-PBEsol was carried out for a relaxed KNi3 crystal.

Computed properties:
DFT total energy, eV/atom: -4.325
E_form, eV/atom: 0.577
Distance to the lowest polymorph of the same formula, eV per formula unit: 0.00

abc: 2.799 2.799 7.699
angles: 90.00 90.00 90.00
Each line ends with the local moment (μB).
Sites, in units of the cell vectors:
Ni 0.500 0.500 0.670  0.51
Ni 0.500 0.500 0.330  0.51
Ni 0.000 0.000 0.500  0.62
K 0.000 0.000 0.000  -0.02

A plane-wave DFT calculation with GGA-PBEsol was carried out for a relaxed KNi3 crystal.

Computed properties:
DFT total energy, eV/atom: -4.081
E_form, eV/atom: 0.820
Distance to the lowest polymorph of the same formula, eV per formula unit: 0.97

abc: 2.526 4.853 5.552
angles: 115.91 103.15 90.00
Each line ends with the local moment (μB).
Sites, in units of the cell vectors:
Ni 0.790 0.290 0.579  0.58
Ni 0.500 0.500 0.000  0.47
Ni 0.210 0.710 0.421  0.58
K 0.000 0.000 0.000  -0.01

A plane-wave DFT calculation with GGA-PBEsol was carried out for a relaxed KNi2 crystal.

Computed properties:
DFT total energy, eV/atom: -3.379
E_form, eV/atom: 1.104

abc: 2.648 4.639 4.639
angles: 120.00 90.00 90.00
Each line ends with the local moment (μB).
Sites, in units of the cell vectors:
Ni 0.500 0.333 0.667  0.54
Ni 0.500 0.667 0.333  0.54
K 0.000 0.000 0.000  -0.01

A plane-wave DFT calculation with GGA-PBEsol was carried out for a relaxed K3Ni2O4 crystal.

Computed properties:
DFT total energy, eV/atom: -5.313
Formation energy from raw total energies, eV per atom: -1.23

abc: 5.388 5.388 10.514
angles: 90.00 90.00 112.60
Each line ends with the local moment (μB).
Sites, in units of the cell vectors:
K 0.290 0.710 0.250  0.00
K 0.348 0.652 0.929  0.00
K 0.710 0.290 0.750  0.00
K 0.652 0.348 0.071  0.00
K 0.652 0.348 0.429  0.00
K 0.348 0.652 0.571  0.00
O 0.137 0.268 0.382  0.07
O 0.732 0.863 0.382  0.07
O 0.863 0.732 0.882  0.07
O 0.732 0.863 0.118  0.07
O 0.268 0.137 0.618  0.07
O 0.863 0.732 0.618  0.07
O 0.268 0.137 0.882  0.07
O 0.137 0.268 0.118  0.07
Ni 0.066 0.934 0.750  0.35
Ni 0.000 0.000 0.500  0.37
Ni 0.934 0.066 0.250  0.35
Ni 0.000 0.000 0.000  0.37

A plane-wave DFT calculation with GGA-PBEsol was carried out for a relaxed KNiTeO6 crystal.

Computed properties:
DFT total energy, eV/atom: -5.651
Formation energy from raw total energies, eV per atom: -0.95

abc: 5.003 5.003 6.032
angles: 90.00 90.00 120.00
Each line ends with the local moment (μB).
Sites, in units of the cell vectors:
O 0.385 0.372 0.679  0.10
O 0.628 0.615 0.321  0.10
O 0.987 0.615 0.679  0.10
O 0.987 0.372 0.321  0.10
O 0.385 0.013 0.321  0.10
O 0.628 0.013 0.679  0.10
K 0.000 0.000 0.000  0.00
Ni 0.667 0.333 0.500  0.34
Te 0.333 0.667 0.500  -0.01

A plane-wave DFT calculation with GGA-PBEsol was carried out for a relaxed KNi2Os crystal.

Computed properties:
DFT total energy, eV/atom: -5.653
E_form, eV/atom: 0.763
Distance to the lowest polymorph of the same formula, eV per formula unit: 0.69

abc: 2.591 3.993 6.911
angles: 90.00 101.40 90.00
Sites, in units of the cell vectors:
K 0.193 0.500 0.764
Os 0.508 0.000 0.382
Ni 0.845 0.000 0.078
Ni 0.954 0.500 0.276

A plane-wave DFT calculation with GGA-PBEsol was carried out for a relaxed KNi2Os crystal.

Computed properties:
DFT total energy, eV/atom: -5.825
E_form, eV/atom: 0.591
Distance to the lowest polymorph of the same formula, eV per formula unit: 0.00

abc: 2.750 2.750 8.331
angles: 90.00 90.00 90.00
Sites, in units of the cell vectors:
Ni 0.000 0.000 0.188
Ni 0.000 0.000 0.812
Os 0.500 0.500 0.000
K 0.500 0.500 0.500

Among the records above, which one has the highest DFT total energy?
K5Ni

Look up the DFT total energy of the fourth one.
-3.379 eV/atom

Look up the DFT total energy of the seventh one.
-5.653 eV/atom

Which of these has the lowest DFT total energy?
number 8